Density functional theory data (PBE-GGA) for a relaxed LaY2Mo crystal.

Properties
Calculated total energy   -6.759 eV per atom
Crystal system   tetragonal
E_form   0.4124 eV/atom
Total magnetization   0.01 Bohr magnetons per cell

Geometry as CIF:
```
data_LaY2Mo
_cell_length_a 4.912
_cell_length_b 4.912
_cell_length_c 8.734
_cell_angle_alpha 90.00
_cell_angle_beta 90.00
_cell_angle_gamma 90.00
_space_group_name_H-M_alt 'I 4/m m m'
_space_group_IT_number 139
_space_group_name_Hall '-I 4 2'
loop_
_atom_site_label
_atom_site_fract_x
_atom_site_fract_y
_atom_site_fract_z
La1 0.000 0.000 0.000
Y1 0.000 0.500 0.250
Mo1 0.000 0.000 0.500
```